DyNb2V | PBE-GGA | relaxed

a b c (Å): 3.0835 3.0835 29.6021
angles (deg): 90.00 90.00 120.00
Space group R-3m (No. 166, hexagonal axes)
Symmetry-distinct sites (fractional):
Dy  0.0000  0.0000  0.0000
Nb  0.0000  0.0000  0.1005
V  0.0000  0.0000  0.5000

Calculated values
Energy of formation (kJ/mol of atoms): 50.8
Total energy (eV per atom): -7.94